--- P ---
{"formula": "RbSnN2F", "functional": "PBE-GGA", "state": "relaxed", "n_ef_per_ev_cell": 3.33, "spacegroup": "P4/mmm (123)", "lattice": [[4.202, 0.000, 0.000], [0.000, 4.202, 0.000], [0.000, 0.000, 4.745]], "species": ["Rb", "Sn", "N", "N", "F"], "fractional_positions": [[0.000, 0.000, 0.000], [0.500, 0.500, 0.500], [0.000, 0.500, 0.500], [0.500, 0.000, 0.500], [0.500, 0.500, 0.000]]}

--- Q ---
{"formula": "RbSnN2F", "functional": "PBE-GGA", "state": "relaxed", "n_ef_per_ev_cell": 3.68, "spacegroup": "P4/mmm (123)", "lattice": [[4.524, 0.000, 0.000], [0.000, 4.524, 0.000], [0.000, 0.000, 4.842]], "species": ["Rb", "Sn", "N", "N", "F"], "fractional_positions": [[0.000, 0.000, 0.000], [0.500, 0.500, 0.500], [0.000, 0.500, 0.000], [0.500, 0.000, 0.000], [0.000, 0.000, 0.500]]}

So which one is most stable? That would be P, about 146.4 kJ/mol of atoms below the next structure.

--- P ---
{"formula": "RbSnNF2", "functional": "PBE-GGA", "state": "relaxed", "n_ef_per_ev_cell": 1.88, "spacegroup": "P4/mmm (123)", "lattice": [[4.623, 0.000, 0.000], [0.000, 4.623, 0.000], [0.000, 0.000, 3.862]], "species": ["Rb", "Sn", "N", "F", "F"], "fractional_positions": [[0.000, 0.000, 0.000], [0.500, 0.500, 0.500], [0.500, 0.500, 0.000], [0.000, 0.500, 0.500], [0.500, 0.000, 0.500]]}

--- Q ---
{"formula": "RbSnNF2", "functional": "PBE-GGA", "state": "relaxed", "n_ef_per_ev_cell": 1.90, "spacegroup": "P4/mmm (123)", "lattice": [[4.834, 0.000, 0.000], [0.000, 4.834, 0.000], [0.000, 0.000, 4.617]], "species": ["Rb", "Sn", "N", "F", "F"], "fractional_positions": [[0.000, 0.000, 0.000], [0.500, 0.500, 0.500], [0.000, 0.000, 0.500], [0.000, 0.500, 0.000], [0.500, 0.000, 0.000]]}

So which one is most stable? That would be P, about 131.5 kJ/mol of atoms below the next structure.

--- P ---
{"formula": "RbSrN2F", "functional": "PBE-GGA", "state": "relaxed", "n_ef_per_ev_cell": 2.05, "spacegroup": "P4/mmm (123)", "lattice": [[5.124, 0.000, 0.000], [0.000, 5.124, 0.000], [0.000, 0.000, 4.754]], "species": ["Rb", "Sr", "N", "N", "F"], "fractional_positions": [[0.000, 0.000, 0.000], [0.500, 0.500, 0.500], [0.000, 0.500, 0.500], [0.500, 0.000, 0.500], [0.500, 0.500, 0.000]]}

--- Q ---
{"formula": "RbSrN2F", "functional": "PBE-GGA", "state": "relaxed", "n_ef_per_ev_cell": 2.63, "spacegroup": "P4/mmm (123)", "lattice": [[4.494, 0.000, 0.000], [0.000, 4.494, 0.000], [0.000, 0.000, 4.954]], "species": ["Rb", "Sr", "N", "N", "F"], "fractional_positions": [[0.000, 0.000, 0.000], [0.500, 0.500, 0.500], [0.000, 0.500, 0.000], [0.500, 0.000, 0.000], [0.000, 0.000, 0.500]]}

So which one is most stable? That would be P, about 70.9 kJ/mol of atoms below the next structure.

--- P ---
{"formula": "RbTaNF2", "functional": "PBE-GGA", "state": "relaxed", "n_ef_per_ev_cell": 5.88, "spacegroup": "P4/mmm (123)", "lattice": [[4.646, 0.000, 0.000], [0.000, 4.646, 0.000], [0.000, 0.000, 4.579]], "species": ["Rb", "Ta", "N", "F", "F"], "fractional_positions": [[0.000, 0.000, 0.000], [0.500, 0.500, 0.500], [0.000, 0.000, 0.500], [0.000, 0.500, 0.000], [0.500, 0.000, 0.000]]}

--- Q ---
{"formula": "RbTaNF2", "functional": "PBE-GGA", "state": "relaxed", "n_ef_per_ev_cell": 0.80, "spacegroup": "P4/mmm (123)", "lattice": [[4.394, 0.000, 0.000], [0.000, 4.394, 0.000], [0.000, 0.000, 4.021]], "species": ["Rb", "Ta", "N", "F", "F"], "fractional_positions": [[0.000, 0.000, 0.000], [0.500, 0.500, 0.500], [0.500, 0.500, 0.000], [0.000, 0.500, 0.500], [0.500, 0.000, 0.500]]}

So which one is most stable? That would be Q, about 265.1 kJ/mol of atoms below the next structure.

--- P ---
{"formula": "RbTaN2F", "functional": "PBE-GGA", "state": "relaxed", "n_ef_per_ev_cell": 3.66, "spacegroup": "P4/mmm (123)", "lattice": [[4.353, 0.000, 0.000], [0.000, 4.353, 0.000], [0.000, 0.000, 4.405]], "species": ["Rb", "Ta", "N", "N", "F"], "fractional_positions": [[0.000, 0.000, 0.000], [0.500, 0.500, 0.500], [0.000, 0.500, 0.000], [0.500, 0.000, 0.000], [0.000, 0.000, 0.500]]}

--- Q ---
{"formula": "RbTaN2F", "functional": "PBE-GGA", "state": "relaxed", "n_ef_per_ev_cell": 1.10, "spacegroup": "P4/mmm (123)", "lattice": [[4.092, 0.000, 0.000], [0.000, 4.092, 0.000], [0.000, 0.000, 4.443]], "species": ["Rb", "Ta", "N", "N", "F"], "fractional_positions": [[0.000, 0.000, 0.000], [0.500, 0.500, 0.500], [0.000, 0.500, 0.500], [0.500, 0.000, 0.500], [0.500, 0.500, 0.000]]}

So which one is most stable? That would be Q, about 311.4 kJ/mol of atoms below the next structure.

--- P ---
{"formula": "RbTcN2F", "functional": "PBE-GGA", "state": "relaxed", "n_ef_per_ev_cell": 3.42, "spacegroup": "P4/mmm (123)", "lattice": [[3.899, 0.000, 0.000], [0.000, 3.899, 0.000], [0.000, 0.000, 4.655]], "species": ["Rb", "Tc", "N", "N", "F"], "fractional_positions": [[0.000, 0.000, 0.000], [0.500, 0.500, 0.500], [0.000, 0.500, 0.500], [0.500, 0.000, 0.500], [0.500, 0.500, 0.000]]}

--- Q ---
{"formula": "RbTcN2F", "functional": "PBE-GGA", "state": "relaxed", "n_ef_per_ev_cell": 3.49, "spacegroup": "P4/mmm (123)", "lattice": [[4.475, 0.000, 0.000], [0.000, 4.475, 0.000], [0.000, 0.000, 4.678]], "species": ["Rb", "Tc", "N", "N", "F"], "fractional_positions": [[0.000, 0.000, 0.000], [0.500, 0.500, 0.500], [0.000, 0.500, 0.000], [0.500, 0.000, 0.000], [0.000, 0.000, 0.500]]}

So which one is most stable? That would be P, about 264.1 kJ/mol of atoms below the next structure.

--- P ---
{"formula": "RbTeN2F", "functional": "PBE-GGA", "state": "relaxed", "n_ef_per_ev_cell": 7.30, "spacegroup": "P4/mmm (123)", "lattice": [[5.550, 0.000, 0.000], [0.000, 5.550, 0.000], [0.000, 0.000, 7.313]], "species": ["Rb", "Te", "N", "N", "F"], "fractional_positions": [[0.000, 0.000, 0.000], [0.000, 0.000, 0.500], [0.000, 0.500, 0.000], [0.500, 0.000, 0.000], [0.500, 0.500, 0.500]]}

--- Q ---
{"formula": "RbTeN2F", "functional": "PBE-GGA", "state": "relaxed", "n_ef_per_ev_cell": 2.59, "spacegroup": "P4/mmm (123)", "lattice": [[5.472, 0.000, 0.000], [0.000, 5.472, 0.000], [0.000, 0.000, 4.371]], "species": ["Rb", "Te", "N", "N", "F"], "fractional_positions": [[0.000, 0.000, 0.000], [0.500, 0.500, 0.000], [0.000, 0.500, 0.500], [0.500, 0.000, 0.500], [0.500, 0.500, 0.500]]}

So which one is most stable? That would be Q, about 61.3 kJ/mol of atoms below the next structure.

--- P ---
{"formula": "RbTeN2F", "functional": "PBE-GGA", "state": "relaxed", "n_ef_per_ev_cell": 2.83, "spacegroup": "P4/mmm (123)", "lattice": [[5.675, 0.000, 0.000], [0.000, 5.675, 0.000], [0.000, 0.000, 4.978]], "species": ["Rb", "Te", "N", "N", "F"], "fractional_positions": [[0.000, 0.000, 0.000], [0.500, 0.500, 0.500], [0.000, 0.500, 0.000], [0.500, 0.000, 0.000], [0.000, 0.000, 0.500]]}

--- Q ---
{"formula": "RbTeN2F", "functional": "PBE-GGA", "state": "relaxed", "n_ef_per_ev_cell": 1.03, "spacegroup": "P4/mmm (123)", "lattice": [[4.057, 0.000, 0.000], [0.000, 4.057, 0.000], [0.000, 0.000, 4.989]], "species": ["Rb", "Te", "N", "N", "F"], "fractional_positions": [[0.000, 0.000, 0.000], [0.500, 0.500, 0.500], [0.000, 0.500, 0.500], [0.500, 0.000, 0.500], [0.500, 0.500, 0.000]]}

So which one is most stable? That would be Q, about 142.9 kJ/mol of atoms below the next structure.